Entry 1:
Entry from Alexandria: a relaxed structure of K2RbRhO4 (PBE-GGA).

Cell: 6.057 6.057 6.057 Å, 110.39 110.39 107.66°
Positions (direct):
K 0.000 0.000 0.000
K 0.750 0.250 0.500
Rb 0.500 0.500 0.000
Rh 0.250 0.750 0.500
O 0.236 0.048 0.483
O 0.247 0.764 0.812
O 0.566 0.753 0.517
O 0.952 0.434 0.188

Calculated values
Raw total energy: -4.837 eV per atom

=====

Entry 2:
Entry from Alexandria: a relaxed structure of PuHfFeNi (PBE-GGA).

Cell: 4.590 4.590 4.590 Å, 60.00 60.00 60.00°
Positions (direct):
Pu 0.000 0.000 0.000
Hf 0.500 0.500 0.500
Fe 0.250 0.250 0.250
Ni 0.750 0.750 0.750

Calculated values
Raw total energy: -9.694 eV per atom

=====

Entry 3:
Entry from Alexandria: a relaxed structure of Y2RuRh (PBE-GGA).

Cell: 4.624 5.517 5.517 Å, 36.54 90.00 90.00°
Positions (direct):
Y 0.000 0.000 0.000
Y 0.500 0.282 0.282
Ru 0.500 0.553 0.553
Rh 0.000 0.725 0.725

Calculated values
Raw total energy: -7.808 eV per atom

=====

Entry 4:
Entry from Alexandria: a relaxed structure of CrNi7Sb2P2 (PBE-GGA).

Cell: 3.600 3.600 13.936 Å, 97.35 97.35 90.03°
Positions (direct):
Cr 0.000 0.000 0.000
Ni 0.064 0.564 0.131
Ni 0.307 0.307 0.615
Ni 0.436 0.936 0.869
Ni 0.500 0.500 0.000
Ni 0.564 0.064 0.131
Ni 0.693 0.693 0.385
Ni 0.936 0.436 0.869
Sb 0.211 0.211 0.421
Sb 0.789 0.789 0.579
P 0.388 0.388 0.774
P 0.612 0.612 0.226

Calculated values
Raw total energy: -5.959 eV per atom